This record from the Alexandria database describes a geometry-optimized Ce3Al8Pt3 structure. The functional is PBE.

a = 4.512 Å, b = 8.290 Å, c = 8.275 Å
α = 65.33°, β = 74.18°, γ = 74.21°
Sites, in units of the cell vectors:
Al1 0.866 0.841 0.428
Al2 0.152 0.558 0.138
Al3 0.349 0.015 0.288
Al4 0.651 0.985 0.712
Al5 0.134 0.159 0.572
Al6 0.848 0.442 0.862
Al7 0.506 0.660 0.328
Al8 0.494 0.340 0.672
Pt1 0.351 0.295 0.003
Pt2 0.649 0.705 0.997
Pt3 0.000 0.500 0.500
Ce1 0.000 0.000 0.000
Ce2 0.718 0.270 0.293
Ce3 0.282 0.730 0.707

The value obtained for the density of states at the Fermi level is 15.049 states/eV/cell. The value obtained for the calculated volume is 19.0 Å³/atom. As for the symmetry: C2/m (12). The calculation puts the formation energy at -800 meV/atom. As for the total magnetization: 1.08 μB per formula unit. For the calculated total energy, the calculation gives -77.1 eV for the cell shown.


This record from the Alexandria database describes a geometry-optimized Ag3IrCl8 structure. The functional is PBE.

a = 6.770 Å, b = 6.770 Å, c = 7.779 Å
α = 90.00°, β = 90.00°, γ = 117.64°
Sites, in units of the cell vectors:
Ag1 0.000 0.500 0.244
Ag2 0.500 0.500 0.000
Ag3 0.500 0.000 0.756
Cl1 0.738 0.733 0.288
Cl2 0.298 0.702 0.500
Cl3 0.288 0.712 0.000
Cl4 0.702 0.298 0.500
Cl5 0.262 0.267 0.288
Cl6 0.712 0.288 0.000
Cl7 0.733 0.738 0.712
Cl8 0.267 0.262 0.712
Ir1 0.500 0.500 0.500

The value obtained for the density of states at the Fermi level is 8.186 states/eV/cell. The value obtained for the calculated volume is 26.3 Å³/atom. As for the symmetry: C222 (21). Its formation energy without anion corrections is -0.44 eV per atom. As for the total magnetization: 0.00 μB per formula unit. For the calculated total energy, the calculation gives -37.5 eV for the cell shown.


This record from the Alexandria database describes a geometry-optimized MgReP structure. The functional is PBE.

a = 4.010 Å, b = 4.010 Å, c = 3.489 Å
α = 90.00°, β = 90.00°, γ = 120.00°
Sites, in units of the cell vectors:
P1 0.667 0.333 0.500
Mg1 0.000 0.000 0.000
Re1 0.333 0.667 0.500

The value obtained for the density of states at the Fermi level is 1.576 states/eV/cell. The value obtained for the calculated volume is 16.2 Å³/atom. As for the symmetry: P-6m2 (187). For the polymorph energy (0 for the lowest one), the calculation gives 0.1728 eV/atom. The calculation puts the formation energy at -101 meV/atom. As for the total magnetization: 0.00 μB per formula unit. For the calculated total energy, the calculation gives -19.8 eV for the cell shown.


This record from the Alexandria database describes a geometry-optimized BaSmDy structure. The functional is PBE.

a = 3.795 Å, b = 3.795 Å, c = 8.699 Å
α = 102.60°, β = 102.60°, γ = 90.00°
Sites, in units of the cell vectors:
Dy1 0.681 0.681 0.363
Ba1 0.001 0.001 0.001
Sm1 0.318 0.318 0.636

The value obtained for the density of states at the Fermi level is 5.251 states/eV/cell. The value obtained for the calculated volume is 39.7 Å³/atom. As for the symmetry: I4mm (107). For the polymorph energy (0 for the lowest one), the calculation gives 0.0000 eV/atom. The calculation puts the formation energy at 171 meV/atom. As for the total magnetization: 0.00 μB per formula unit. For the calculated total energy, the calculation gives -10.7 eV for the cell shown.


This record from the Alexandria database describes a geometry-optimized Pr3ThH8 structure. The functional is PBE.

a = 5.514 Å, b = 5.514 Å, c = 5.514 Å
α = 90.00°, β = 90.00°, γ = 90.00°
Sites, in units of the cell vectors:
H1 0.246 0.754 0.246
H2 0.246 0.246 0.246
H3 0.246 0.246 0.754
H4 0.246 0.754 0.754
H5 0.754 0.246 0.754
H6 0.754 0.754 0.754
H7 0.754 0.246 0.246
H8 0.754 0.754 0.246
Th1 0.000 0.000 0.000
Pr1 0.500 0.500 0.000
Pr2 0.000 0.500 0.500
Pr3 0.500 0.000 0.500

The value obtained for the density of states at the Fermi level is 4.227 states/eV/cell. The value obtained for the calculated volume is 14.0 Å³/atom. As for the symmetry: Pm-3m (221). As for the total magnetization: 0.00 μB per formula unit. For the calculated total energy, the calculation gives -55.8 eV for the cell shown.


This record from the Alexandria database describes a geometry-optimized NiHPt2 structure. The functional is PBE.

a = 2.705 Å, b = 2.705 Å, c = 7.948 Å
α = 80.20°, β = 80.20°, γ = 60.00°
Sites, in units of the cell vectors:
H1 0.500 0.500 0.500
Pt1 0.893 0.893 0.320
Pt2 0.107 0.107 0.680
Ni1 0.000 0.000 0.000

The value obtained for the density of states at the Fermi level is 3.663 states/eV/cell. The value obtained for the calculated volume is 12.3 Å³/atom. As for the symmetry: R-3m (166). For the polymorph energy (0 for the lowest one), the calculation gives 0.3200 eV/atom. As for the total magnetization: 0.98 μB per formula unit. For the calculated total energy, the calculation gives -20.1 eV for the cell shown.


This record from the Alexandria database describes a geometry-optimized Tl2OsRh structure. The functional is PBE.

a = 8.941 Å, b = 8.941 Å, c = 8.941 Å
α = 20.18°, β = 20.18°, γ = 20.18°
Sites, in units of the cell vectors:
Tl1 0.749 0.749 0.749
Tl2 0.251 0.251 0.251
Os1 0.500 0.500 0.500
Rh1 0.000 0.000 0.000

The value obtained for the density of states at the Fermi level is 5.269 states/eV/cell. The value obtained for the calculated volume is 18.6 Å³/atom. As for the symmetry: R-3m (166). For the polymorph energy (0 for the lowest one), the calculation gives 0.2279 eV/atom. The calculation puts the formation energy at 723 meV/atom. As for the total magnetization: 0.00 μB per formula unit. For the calculated total energy, the calculation gives -20.4 eV for the cell shown.


This record from the Alexandria database describes a geometry-optimized Pr2ScH8 structure. The functional is PBE.

a = 3.813 Å, b = 5.037 Å, c = 6.526 Å
α = 112.70°, β = 106.99°, γ = 90.00°
Sites, in units of the cell vectors:
H1 0.642 0.896 0.283
H2 0.642 0.387 0.283
H3 0.358 0.104 0.717
H4 0.189 0.189 0.378
H5 0.811 0.811 0.622
H6 0.000 0.772 0.000
H7 0.000 0.228 0.000
H8 0.358 0.613 0.717
Pr1 0.168 0.668 0.336
Pr2 0.832 0.332 0.664
Sc1 0.500 0.000 0.000

The value obtained for the density of states at the Fermi level is 1.551 states/eV/cell. The value obtained for the calculated volume is 10.0 Å³/atom. As for the symmetry: Immm (71). As for the total magnetization: 0.00 μB per formula unit. For the calculated total energy, the calculation gives -48.6 eV for the cell shown.


This record from the Alexandria database describes a geometry-optimized BIr structure. The functional is PBE.

a = 6.199 Å, b = 5.126 Å, c = 5.972 Å
α = 90.00°, β = 90.00°, γ = 90.00°
Sites, in units of the cell vectors:
B1 0.308 0.512 0.083
B2 0.275 0.874 0.162
B3 0.775 0.626 0.838
B4 0.808 0.988 0.917
B5 0.192 0.488 0.583
B6 0.692 0.012 0.417
B7 0.225 0.126 0.662
B8 0.725 0.374 0.338
Ir1 0.459 0.426 0.788
Ir2 0.959 0.074 0.212
Ir3 0.541 0.926 0.712
Ir4 0.041 0.574 0.288
Ir5 0.113 0.782 0.839
Ir6 0.613 0.718 0.161
Ir7 0.387 0.218 0.339
Ir8 0.887 0.282 0.661

The value obtained for the density of states at the Fermi level is 2.775 states/eV/cell. The value obtained for the calculated volume is 11.9 Å³/atom. As for the symmetry: P2_12_12_1 (19). The calculation puts the formation energy at -7 meV/atom. As for the total magnetization: 0.00 μB per formula unit. For the calculated total energy, the calculation gives -124.4 eV for the cell shown.


This record from the Alexandria database describes a geometry-optimized La2Pm2Au3 structure. The functional is PBE.

a = 8.020 Å, b = 8.020 Å, c = 8.020 Å
α = 109.47°, β = 109.47°, γ = 109.47°
Sites, in units of the cell vectors:
Pm1 0.000 0.000 0.863
Pm2 0.363 0.500 0.000
Pm3 0.137 0.637 0.637
Pm4 0.500 0.863 0.500
Au1 0.750 0.635 0.385
Au2 0.365 0.115 0.750
Au3 0.615 0.750 0.865
Au4 0.885 0.250 0.635
Au5 0.250 0.865 0.115
Au6 0.135 0.385 0.250
La1 0.000 0.000 0.359
La2 0.641 0.141 0.141
La3 0.500 0.359 0.500
La4 0.859 0.500 0.000

The value obtained for the density of states at the Fermi level is 20.584 states/eV/cell. The value obtained for the calculated volume is 28.4 Å³/atom. As for the symmetry: I2_13 (199). The calculation puts the formation energy at -633 meV/atom. As for the total magnetization: 0.00 μB per formula unit. For the calculated total energy, the calculation gives -67.2 eV for the cell shown.


This record from the Alexandria database describes a geometry-optimized Na5Sn4Hg4 structure. The functional is PBE.

a = 4.388 Å, b = 9.453 Å, c = 9.453 Å
α = 86.91°, β = 76.58°, γ = 76.58°
Sites, in units of the cell vectors:
Na1 0.714 0.910 0.662
Na2 0.286 0.090 0.338
Na3 0.000 0.000 0.000
Na4 0.376 0.338 0.910
Na5 0.624 0.662 0.090
Hg1 0.225 0.706 0.844
Hg2 0.069 0.156 0.706
Hg3 0.775 0.294 0.156
Hg4 0.931 0.844 0.294
Sn1 0.901 0.517 0.682
Sn2 0.099 0.483 0.318
Sn3 0.582 0.318 0.517
Sn4 0.418 0.682 0.483

The value obtained for the density of states at the Fermi level is 6.255 states/eV/cell. The value obtained for the calculated volume is 28.5 Å³/atom. As for the symmetry: I4/m (87). The calculation puts the formation energy at -158 meV/atom. As for the total magnetization: 0.00 μB per formula unit. For the calculated total energy, the calculation gives -25.9 eV for the cell shown.